VASP calculation (PBE) on a geometry-optimized Zr3Cu structure.

abc: 4.831 4.831 4.831
angles: 60.00 60.00 60.00
Sites, in units of the cell vectors:
Zr 0.500 0.500 0.500
Zr 0.250 0.250 0.250
Cu 0.000 0.000 0.000
Zr 0.750 0.750 0.750

Computed properties:
Space group   Fm-3m, No. 225
Energy   -29.27 eV/cell

---

VASP calculation (PBE) on a geometry-optimized LaThHgAu structure.

abc: 5.378 5.378 5.378
angles: 60.00 60.00 60.00
Site moments in Bohr magnetons follow the coordinates.
Sites, in units of the cell vectors:
Au 0.000 0.000 0.000  0.01
Th 0.750 0.750 0.750  0.10
Hg 0.500 0.500 0.500  0.00
La 0.250 0.250 0.250  0.07

Computed properties:
Space group   F-43m, No. 216
Energy   -17.77 eV/cell

---

VASP calculation (PBE) on a geometry-optimized Sm5MgAu6 structure.

abc: 5.118 8.880 8.880
angles: 119.69 106.76 106.76
Sites, in units of the cell vectors:
Mg 0.000 0.000 0.000
Sm 0.000 0.330 0.670
Au 0.757 0.258 0.258
Sm 0.000 0.670 0.330
Sm 0.500 0.840 0.160
Sm 0.500 0.160 0.840
Sm 0.500 0.500 0.500
Au 0.753 0.589 0.918
Au 0.247 0.082 0.411
Au 0.243 0.742 0.742
Au 0.753 0.918 0.589
Au 0.247 0.411 0.082

Computed properties:
Space group   C2/m, No. 12
Energy   -54.01 eV/cell

---

VASP calculation (PBE) on a geometry-optimized RuW2Au structure.

abc: 4.926 4.926 4.730
angles: 78.86 78.86 34.45
Sites, in units of the cell vectors:
W 0.995 0.995 0.012
Ru 0.250 0.250 0.250
W 0.505 0.505 0.488
Au 0.750 0.750 0.750

Computed properties:
Space group   C2/m, No. 12
Energy   -37.22 eV/cell

---

VASP calculation (PBE) on a geometry-optimized KCaZrNbO6 structure.

abc: 5.814 5.814 5.814
angles: 60.00 60.00 60.00
Sites, in units of the cell vectors:
O 0.244 0.244 0.756
O 0.244 0.756 0.756
Zr 0.500 0.500 0.500
K 0.750 0.750 0.750
Ca 0.250 0.250 0.250
O 0.244 0.756 0.244
O 0.756 0.244 0.244
Nb 0.000 0.000 0.000
O 0.756 0.756 0.244
O 0.756 0.244 0.756

Computed properties:
Space group   F-43m, No. 216
Uncorrected formation energy   -2.77 eV per atom

---

VASP calculation (PBE) on a geometry-optimized Hf6Tl2B structure.

abc: 6.426 6.426 9.018
angles: 90.00 90.00 90.00
Sites, in units of the cell vectors:
Tl 0.500 0.000 0.250
Hf 0.755 0.245 0.000
Hf 0.000 0.000 0.242
Tl 0.000 0.500 0.750
Hf 0.245 0.245 0.000
Tl 0.000 0.500 0.250
Hf 0.500 0.500 0.258
Tl 0.500 0.000 0.750
Hf 0.255 0.255 0.500
B 0.000 0.000 0.500
Hf 0.000 0.000 0.758
Hf 0.745 0.255 0.500
Hf 0.745 0.745 0.500
Hf 0.255 0.745 0.500
Hf 0.500 0.500 0.742
Hf 0.245 0.755 0.000
Hf 0.755 0.755 0.000
B 0.500 0.500 0.000

Computed properties:
Space group   I4/mmm, No. 139
Energy   -144.16 eV/cell

---

VASP calculation (PBE) on a geometry-optimized AgPd3 structure.

abc: 2.795 4.925 5.441
angles: 116.91 104.88 90.00
Sites, in units of the cell vectors:
Pd 0.500 0.507 0.000
Pd 0.247 0.575 0.495
Ag 0.000 0.004 0.000
Pd 0.753 0.081 0.505

Computed properties:
Space group   Imm2, No. 44
Energy   -18.40 eV/cell

---

VASP calculation (PBE) on a geometry-optimized AgPCl2O structure.

abc: 5.641 5.641 3.319
angles: 90.00 90.00 90.00
Sites, in units of the cell vectors:
Cl 0.000 0.500 0.000
O 0.000 0.000 0.000
Ag 0.500 0.500 0.500
Cl 0.500 0.000 0.000
P 0.000 0.000 0.500

Computed properties:
Space group   P4/mmm, No. 123
Uncorrected formation energy   0.12 eV per atom

---

VASP calculation (PBE) on a geometry-optimized TlAgTe2 structure.

abc: 5.148 9.326 5.539
angles: 90.98 78.79 104.60
Sites, in units of the cell vectors:
Ag 0.351 0.072 0.753
Tl 0.920 0.224 0.205
Te 0.572 0.383 0.746
Tl 0.150 0.640 0.815
Te 0.288 0.945 0.262
Te 0.498 0.481 0.273
Ag 0.720 0.793 0.266
Te 0.783 0.920 0.757

Computed properties:
Space group   P-1, No. 2
Uncorrected formation energy   -0.12 eV per atom

---

VASP calculation (PBE) on a geometry-optimized SmThSe2 structure.

abc: 5.131 5.131 5.131
angles: 60.00 60.00 60.00
Sites, in units of the cell vectors:
Se 0.250 0.250 0.250
Th 0.000 0.000 0.000
Se 0.750 0.750 0.750
Sm 0.500 0.500 0.500

Computed properties:
Space group   Fm-3m, No. 225
Uncorrected formation energy   -1.48 eV per atom

---

VASP calculation (PBE) on a geometry-optimized CaVBSe structure.

abc: 3.608 3.608 6.073
angles: 90.00 90.00 120.00
Sites, in units of the cell vectors:
B 0.333 0.667 0.256
Ca 0.667 0.333 0.974
V 0.000 0.000 0.381
Se 0.333 0.667 0.627

Computed properties:
Space group   P3m1, No. 156
Uncorrected formation energy   -0.40 eV per atom

---

VASP calculation (PBE) on a geometry-optimized La4Pm3Er structure.

abc: 3.521 6.293 12.937
angles: 93.46 97.82 90.00
Sites, in units of the cell vectors:
La 0.280 0.755 0.560
Er 0.500 0.000 0.000
Pm 0.143 0.742 0.286
La 0.895 0.767 0.790
La 0.720 0.245 0.440
La 0.105 0.233 0.210
Pm 0.857 0.258 0.714
Pm 0.000 0.500 0.000

Computed properties:
Space group   C2/m, No. 12
Energy   -36.90 eV/cell

---

VASP calculation (PBE) on a geometry-optimized Be2SBr structure.

abc: 4.592 5.252 8.644
angles: 79.85 78.52 89.21
Sites, in units of the cell vectors:
Br 0.413 0.468 0.858
Be 0.395 0.063 0.360
Br 0.033 0.075 0.557
Be 0.441 0.268 0.075
Be 0.860 0.013 0.347
S 0.229 0.913 0.175
Be 0.563 0.727 0.285
S 0.678 0.374 0.235

Computed properties:
Space group   P1, No. 1
Uncorrected formation energy   -0.59 eV per atom

---

VASP calculation (PBE) on a geometry-optimized HgRh3Se structure.

abc: 4.580 4.580 4.580
angles: 90.00 90.00 90.00
Sites, in units of the cell vectors:
Rh 0.000 0.000 0.500
Rh 0.500 0.000 0.000
Rh 0.000 0.500 0.000
Hg 0.500 0.500 0.500
Se 0.000 0.000 0.000

Computed properties:
Space group   Pm-3m, No. 221
Uncorrected formation energy   0.40 eV per atom

---

VASP calculation (PBE) on a geometry-optimized Li3TcW structure.

abc: 4.209 4.209 4.209
angles: 90.00 90.00 90.00
Sites, in units of the cell vectors:
Li 0.000 0.000 0.500
Tc 0.000 0.000 0.000
Li 0.500 0.000 0.000
W 0.500 0.500 0.500
Li 0.000 0.500 0.000

Computed properties:
Space group   Pm-3m, No. 221
Energy   -19.65 eV/cell

---

VASP calculation (PBE) on a geometry-optimized Ac2ZnAs4Pd3 structure.

abc: 4.567 4.567 10.104
angles: 90.00 90.00 90.00
Sites, in units of the cell vectors:
Pd 0.500 0.000 0.884
Pd 0.000 0.500 0.116
As 0.000 0.000 0.000
As 0.000 0.500 0.368
Zn 0.500 0.500 0.500
As 0.500 0.000 0.632
Pd 0.000 0.000 0.500
Ac 0.000 0.500 0.755
As 0.500 0.500 0.000
Ac 0.500 0.000 0.245

Computed properties:
Space group   P-4m2, No. 115
Energy   -52.18 eV/cell

---

VASP calculation (PBE) on a geometry-optimized RbNaSbSe3 structure.

abc: 7.396 7.587 8.281
angles: 117.26 90.00 90.00
Sites, in units of the cell vectors:
Se 0.000 0.257 0.000
Sb 0.750 0.955 0.910
Se 0.750 0.783 0.566
Na 0.750 0.590 0.181
Rb 0.750 0.273 0.546
Rb 0.250 0.727 0.454
Se 0.500 0.257 0.000
Na 0.250 0.410 0.819
Se 0.250 0.217 0.434
Se 0.500 0.743 0.000
Se 0.000 0.743 0.000
Sb 0.250 0.045 0.090

Computed properties:
Space group   Cmcm, No. 63
Uncorrected formation energy   -0.69 eV per atom

---

VASP calculation (PBE) on a geometry-optimized BaMgP2S8 structure.

abc: 5.905 5.905 9.334
angles: 90.00 90.00 120.00
Site moments in Bohr magnetons follow the coordinates.
Sites, in units of the cell vectors:
S 0.667 0.333 0.034  0.11
P 0.333 0.667 0.748  -0.01
S 0.333 0.000 0.685  0.16
Ba 0.000 0.000 0.000  0.00
P 0.667 0.333 0.252  -0.01
S 0.667 0.667 0.685  0.16
S 0.333 0.667 0.966  0.11
S 0.000 0.333 0.685  0.16
S 0.000 0.667 0.315  0.16
S 0.333 0.333 0.315  0.16
Mg 0.000 0.000 0.500  0.00
S 0.667 0.000 0.315  0.16

Computed properties:
Space group   P-3, No. 147
Uncorrected formation energy   -0.60 eV per atom

---

VASP calculation (PBE) on a geometry-optimized Pr11Sm4Ho9 structure.

abc: 3.711 15.492 15.492
angles: 113.06 90.00 90.00
Sites, in units of the cell vectors:
Pr 0.000 0.709 0.709
Pr 0.000 0.000 0.000
Sm 0.500 0.555 0.758
Pr 0.000 0.957 0.595
Pr 0.000 0.291 0.291
Sm 0.500 0.445 0.242
Ho 0.500 0.632 0.165
Ho 0.500 0.500 0.500
Pr 0.000 0.405 0.043
Sm 0.500 0.758 0.555
Pr 0.000 0.043 0.405
Sm 0.500 0.242 0.445
Pr 0.000 0.840 0.160
Ho 0.500 0.934 0.788
Ho 0.500 0.212 0.066
Pr 0.000 0.632 0.368
Ho 0.500 0.788 0.934
Ho 0.500 0.165 0.632
Pr 0.000 0.368 0.632
Ho 0.500 0.835 0.368
Pr 0.000 0.160 0.840
Pr 0.000 0.595 0.957
Ho 0.500 0.066 0.212
Ho 0.500 0.368 0.835

Computed properties:
Space group   Cmmm, No. 65
Energy   -111.18 eV/cell

---

VASP calculation (PBE) on a geometry-optimized CaMg2 structure.

abc: 9.471 9.471 3.280
angles: 90.00 90.00 120.00
Sites, in units of the cell vectors:
Mg 0.351 0.351 0.000
Ca 0.667 0.333 0.500
Ca 0.333 0.667 0.500
Mg 0.314 0.000 0.500
Mg 0.649 0.000 0.000
Mg 0.000 0.649 0.000
Ca 0.000 0.000 0.000
Mg 0.686 0.686 0.500
Mg 0.000 0.314 0.500

Computed properties:
Space group   P-62m, No. 189
Energy   -14.96 eV/cell

---

Density in g/cm³, matching the order above: 7.0; 11.6; 11.3; 17.4; 4.3; 13.3; 11.1; 3.5; 7.5; 9.4; 4.4; 6.8; 2.1; 10.2; 6.7; 9.0; 3.8; 2.8; 7.4; 1.7